(1)
# Nd2Hg3Pb (PBE, relaxed)
data_Nd2Hg3Pb
_chemical_formula_sum 'Nd4 Hg6 Pb2'
_cell_length_a 10.1335
_cell_length_b 9.5096
_cell_length_c 6.2536
_cell_angle_alpha 76.95
_cell_angle_beta 66.09
_cell_angle_gamma 36.95
_symmetry_space_group_name_H-M 'P 1'
_symmetry_Int_Tables_number 1
_symmetry_space_group_name_Hall 'P 1'
loop_
_atom_site_label
_atom_site_fract_x
_atom_site_fract_y
_atom_site_fract_z
Nd1 0.2454 0.7546 0.7546
Nd2 0.2500 0.2500 0.2500
Nd3 0.7500 0.7500 0.7500
Nd4 0.7546 0.2454 0.2454
Hg1 0.1639 0.1639 0.8361
Hg2 0.1649 0.6718 0.3282
Hg3 0.3282 0.8351 0.1649
Hg4 0.6718 0.1649 0.8351
Hg5 0.8351 0.3282 0.6718
Hg6 0.8361 0.8361 0.1639
Pb1 0.3344 0.3344 0.6656
Pb2 0.6656 0.6656 0.3344
# Calculated formation energy in eV/atom: -0.406
# VASP energy in eV/atom: -2.764
# Calculated volume in A^3/atom: 27.158
# Polymorph energy (0 for the lowest one) in meV/atom: 0
# Space group: Fmmm

(2)
# Ca4Sn8Rh (PBE, relaxed)
data_Ca4Sn8Rh
_chemical_formula_sum 'Ca4 Sn8 Rh1'
_cell_length_a 4.5715
_cell_length_b 4.7117
_cell_length_c 16.2529
_cell_angle_alpha 90.00
_cell_angle_beta 90.00
_cell_angle_gamma 90.00
_symmetry_space_group_name_H-M 'P 1'
_symmetry_Int_Tables_number 1
_symmetry_space_group_name_Hall 'P 1'
loop_
_atom_site_label
_atom_site_fract_x
_atom_site_fract_y
_atom_site_fract_z
Ca1 0.0000 0.0000 0.0000
Ca2 0.0000 0.5000 0.4791
Ca3 0.5000 0.0000 0.7875
Ca4 0.5000 0.5000 0.3040
Sn1 0.0000 0.0000 0.3214
Sn2 0.0000 0.0000 0.6182
Sn3 0.0000 0.5000 0.1509
Sn4 0.0000 0.5000 0.8535
Sn5 0.5000 0.0000 0.1573
Sn6 0.5000 0.0000 0.4618
Sn7 0.5000 0.5000 0.6186
Sn8 0.5000 0.5000 0.9718
Rh1 0.0000 0.5000 0.6939
# Calculated formation energy in eV/atom: -0.472
# VASP energy in eV/atom: -4.116
# Calculated volume in A^3/atom: 26.929
# Space group: Pmm2